[1]
Compound: BeCd2B2O6
Source: Alexandria via LeMat-Bulk
Functional: PBE
Structure: optimized geometry

Values from the calculation:
E in eV per atom: -6.242
Formation energy (no corrections) in eV per atom: -1.8183

a b c (Å): 5.669 5.669 5.655
angles (deg): 118.96 118.96 49.61
Atoms (fractional coordinates):
Be1 0.000 0.000 0.000
Cd1 0.205 0.205 0.717
Cd2 0.795 0.795 0.283
B1 0.495 0.495 0.749
B2 0.505 0.505 0.251
O1 0.179 0.679 0.122
O2 0.321 0.821 0.878
O3 0.348 0.348 0.515
O4 0.652 0.652 0.485
O5 0.679 0.179 0.122
O6 0.821 0.321 0.878

[2]
Compound: BeCdBPb2
Source: Alexandria via LeMat-Bulk
Functional: PBE
Structure: optimized geometry

Values from the calculation:
ΔH_f (0 K) in meV per atom: 1553
E in eV per atom: -2.194

a b c (Å): 5.648 5.648 4.483
angles (deg): 90.00 90.00 90.00
Atoms (fractional coordinates):
Be1 0.000 0.000 0.000
Cd1 0.000 0.000 0.500
B1 0.500 0.500 0.000
Pb1 0.000 0.500 0.500
Pb2 0.500 0.000 0.500

[3]
Compound: RbBeCdB2
Source: Alexandria via LeMat-Bulk
Functional: PBE
Structure: optimized geometry

Values from the calculation:
ΔH_f (0 K) in meV per atom: 1393
E in eV per atom: -2.399

a b c (Å): 4.293 4.293 4.881
angles (deg): 90.00 90.00 90.00
Atoms (fractional coordinates):
Rb1 0.000 0.000 0.000
Be1 0.500 0.500 0.500
Cd1 0.500 0.500 0.000
B1 0.000 0.500 0.500
B2 0.500 0.000 0.500

[4]
Compound: BeCd2B2Rh5
Source: Alexandria via LeMat-Bulk
Functional: PBE
Structure: optimized geometry

Values from the calculation:
ΔH_f (0 K) in meV per atom: -343
E in eV per atom: -5.910

a b c (Å): 9.437 9.437 2.888
angles (deg): 90.00 90.00 90.00
Atoms (fractional coordinates):
Be1 0.000 0.000 0.000
Be2 0.500 0.500 0.000
Cd1 0.178 0.322 0.000
Cd2 0.322 0.822 0.000
Cd3 0.678 0.178 0.000
Cd4 0.822 0.678 0.000
B1 0.129 0.629 0.000
B2 0.371 0.129 0.000
B3 0.629 0.871 0.000
B4 0.871 0.371 0.000
Rh1 0.000 0.500 0.500
Rh2 0.066 0.791 0.500
Rh3 0.209 0.066 0.500
Rh4 0.291 0.566 0.500
Rh5 0.434 0.291 0.500
Rh6 0.500 0.000 0.500
Rh7 0.566 0.709 0.500
Rh8 0.709 0.434 0.500
Rh9 0.791 0.934 0.500
Rh10 0.934 0.209 0.500

[5]
Compound: Be2CdBSe
Source: Alexandria via LeMat-Bulk
Functional: PBE
Structure: optimized geometry

Values from the calculation:
E in eV per atom: -3.369
Formation energy (no corrections) in eV per atom: 0.3369

a b c (Å): 3.829 3.829 5.161
angles (deg): 90.00 90.00 90.00
Atoms (fractional coordinates):
Be1 0.000 0.500 0.000
Be2 0.500 0.000 0.000
Cd1 0.000 0.000 0.500
B1 0.000 0.000 0.000
Se1 0.500 0.500 0.500

[6]
Compound: BeCd2TcB
Source: Alexandria via LeMat-Bulk
Functional: PBE
Structure: optimized geometry

Values from the calculation:
ΔH_f (0 K) in meV per atom: 1336
E in eV per atom: -3.184

a b c (Å): 5.285 5.285 3.922
angles (deg): 90.00 90.00 90.00
Atoms (fractional coordinates):
Be1 0.000 0.000 0.000
Cd1 0.000 0.500 0.500
Cd2 0.500 0.000 0.500
Tc1 0.500 0.500 0.500
B1 0.500 0.500 0.000

[7]
Compound: CeBeB4
Source: Alexandria via LeMat-Bulk
Functional: PBE
Structure: optimized geometry

Values from the calculation:
ΔH_f (0 K) in meV per atom: -382
E in eV per atom: -6.444

a b c (Å): 5.925 11.476 3.496
angles (deg): 90.00 90.00 90.00
Atoms (fractional coordinates):
Ce1 0.126 0.150 0.000
Ce2 0.374 0.650 0.000
Ce3 0.626 0.350 0.000
Ce4 0.874 0.850 0.000
Be1 0.133 0.413 0.000
Be2 0.367 0.913 0.000
Be3 0.633 0.087 0.000
Be4 0.867 0.587 0.000
B1 0.027 0.691 0.500
B2 0.111 0.545 0.500
B3 0.138 0.967 0.500
B4 0.217 0.814 0.500
B5 0.283 0.314 0.500
B6 0.362 0.467 0.500
B7 0.389 0.045 0.500
B8 0.473 0.191 0.500
B9 0.527 0.809 0.500
B10 0.611 0.955 0.500
B11 0.638 0.533 0.500
B12 0.717 0.686 0.500
B13 0.783 0.186 0.500
B14 0.862 0.033 0.500
B15 0.889 0.455 0.500
B16 0.973 0.309 0.500

[8]
Compound: CeBe4B4
Source: Alexandria via LeMat-Bulk
Functional: PBE
Structure: optimized geometry

Values from the calculation:
ΔH_f (0 K) in meV per atom: -105
E in eV per atom: -5.388

a b c (Å): 4.898 4.898 6.970
angles (deg): 90.00 90.00 90.00
Atoms (fractional coordinates):
Ce1 0.250 0.750 0.250
Ce2 0.750 0.250 0.750
Be1 0.024 0.750 0.619
Be2 0.250 0.524 0.881
Be3 0.250 0.976 0.881
Be4 0.476 0.750 0.619
Be5 0.524 0.250 0.381
Be6 0.750 0.024 0.119
Be7 0.750 0.476 0.119
Be8 0.976 0.250 0.381
B1 0.083 0.250 0.088
B2 0.250 0.083 0.588
B3 0.250 0.417 0.588
B4 0.417 0.250 0.088
B5 0.583 0.750 0.912
B6 0.750 0.583 0.412
B7 0.750 0.917 0.412
B8 0.917 0.750 0.912

[9]
Compound: Ce2BeB10
Source: Alexandria via LeMat-Bulk
Functional: PBE
Structure: optimized geometry

Values from the calculation:
ΔH_f (0 K) in meV per atom: -541
E in eV per atom: -6.877

a b c (Å): 5.560 11.002 4.143
angles (deg): 90.00 90.00 90.00
Atoms (fractional coordinates):
Ce1 0.193 0.135 0.000
Ce2 0.307 0.635 0.000
Ce3 0.693 0.365 0.000
Ce4 0.807 0.865 0.000
Be1 0.000 0.500 0.500
Be2 0.500 0.000 0.500
B1 0.026 0.314 0.500
B2 0.128 0.961 0.500
B3 0.162 0.803 0.500
B4 0.197 0.389 0.200
B5 0.197 0.389 0.800
B6 0.303 0.889 0.200
B7 0.303 0.889 0.800
B8 0.338 0.303 0.500
B9 0.372 0.461 0.500
B10 0.474 0.814 0.500
B11 0.526 0.186 0.500
B12 0.628 0.539 0.500
B13 0.662 0.697 0.500
B14 0.697 0.111 0.200
B15 0.697 0.111 0.800
B16 0.803 0.611 0.200
B17 0.803 0.611 0.800
B18 0.838 0.197 0.500
B19 0.872 0.039 0.500
B20 0.974 0.686 0.500

[10]
Compound: Ce2BeB2Ir5
Source: Alexandria via LeMat-Bulk
Functional: PBE
Structure: optimized geometry

Values from the calculation:
ΔH_f (0 K) in meV per atom: -545
E in eV per atom: -7.870

a b c (Å): 9.459 9.459 3.257
angles (deg): 90.00 90.00 90.00
Atoms (fractional coordinates):
Ce1 0.178 0.322 0.000
Ce2 0.322 0.822 0.000
Ce3 0.678 0.178 0.000
Ce4 0.822 0.678 0.000
Be1 0.000 0.000 0.000
Be2 0.500 0.500 0.000
B1 0.122 0.622 0.000
B2 0.378 0.122 0.000
B3 0.622 0.878 0.000
B4 0.878 0.378 0.000
Ir1 0.000 0.500 0.500
Ir2 0.068 0.786 0.500
Ir3 0.214 0.068 0.500
Ir4 0.286 0.568 0.500
Ir5 0.432 0.286 0.500
Ir6 0.500 0.000 0.500
Ir7 0.568 0.714 0.500
Ir8 0.714 0.432 0.500
Ir9 0.786 0.932 0.500
Ir10 0.932 0.214 0.500

[11]
Compound: Ce2BeBIr6
Source: Alexandria via LeMat-Bulk
Functional: PBE
Structure: optimized geometry

Values from the calculation:
ΔH_f (0 K) in meV per atom: -538
E in eV per atom: -8.082

a b c (Å): 6.057 6.057 6.057
angles (deg): 60.00 60.00 60.00
Atoms (fractional coordinates):
Ce1 0.250 0.250 0.250
Ce2 0.750 0.750 0.750
Be1 0.000 0.000 0.000
B1 0.500 0.500 0.500
Ir1 0.254 0.254 0.746
Ir2 0.254 0.746 0.254
Ir3 0.254 0.746 0.746
Ir4 0.746 0.254 0.254
Ir5 0.746 0.254 0.746
Ir6 0.746 0.746 0.254

[12]
Compound: Ce3BeB2N6
Source: Alexandria via LeMat-Bulk
Functional: PBE
Structure: optimized geometry

Values from the calculation:
E in eV per atom: -8.106
Formation energy (no corrections) in eV per atom: -1.0369

a b c (Å): 5.292 5.292 5.922
angles (deg): 90.00 90.00 120.00
Atoms (fractional coordinates):
Ce1 0.000 0.000 0.000
Ce2 0.333 0.667 0.667
Ce3 0.667 0.333 0.333
Be1 0.000 0.000 0.500
B1 0.333 0.667 0.253
B2 0.667 0.333 0.747
N1 0.176 0.351 0.290
N2 0.176 0.824 0.290
N3 0.351 0.176 0.710
N4 0.649 0.824 0.290
N5 0.824 0.176 0.710
N6 0.824 0.649 0.710